A relaxed MnAuIF2 crystal. Source: Alexandria, functional PBE with a Hubbard U.

Output
spin magnetization	4.9	Bohr magnetons per cell
DFT total energy	-4.6054	eV per atom
theoretical density	6292	kg/m3

Cell: 4.063 4.063 6.663 Å, 90.00 90.00 90.00°
Each line ends with the local moment (μB).
Positions (direct):
Au  0.500  0.500  0.500  0.00
I  0.000  0.000  0.500  0.01
Mn  0.000  0.000  0.000  4.62
F  0.000  0.500  0.000  0.04
F  0.500  0.000  0.000  0.04